# Li12Cd2Rh PBE relaxed
# - Energy relative to the elements: 71 meV/atom
# - Space-group type: P4/nbm, No. 125
# - Fermi-level density of states: 0.456 states/eV/atom
# - Raw total energy: -2.07 eV per atom
data_Li12Cd2Rh
_symmetry_space_group_name_H-M 'P 1'
_symmetry_Int_Tables_number 1
_symmetry_space_group_name_Hall 'P 1'
_cell_length_a 5.447
_cell_length_b 5.447
_cell_length_c 19.638
_cell_angle_alpha 90.00
_cell_angle_beta 90.00
_cell_angle_gamma 90.00
loop_
_atom_site_label
_atom_site_type_symbol
_atom_site_fract_x
_atom_site_fract_y
_atom_site_fract_z
_atom_site_occupancy
Li1 Li 0.000 0.000 0.079 1
Li2 Li 0.000 0.000 0.921 1
Li3 Li 0.000 0.500 0.079 1
Li4 Li 0.000 0.500 0.921 1
Li5 Li 0.070 0.570 0.437 1
Li6 Li 0.070 0.930 0.563 1
Li7 Li 0.250 0.250 0.204 1
Li8 Li 0.250 0.250 0.335 1
Li9 Li 0.250 0.250 0.665 1
Li10 Li 0.250 0.250 0.796 1
Li11 Li 0.430 0.570 0.563 1
Li12 Li 0.430 0.930 0.437 1
Li13 Li 0.500 0.000 0.079 1
Li14 Li 0.500 0.000 0.921 1
Li15 Li 0.500 0.500 0.079 1
Li16 Li 0.500 0.500 0.921 1
Li17 Li 0.570 0.070 0.563 1
Li18 Li 0.570 0.430 0.437 1
Li19 Li 0.750 0.750 0.204 1
Li20 Li 0.750 0.750 0.335 1
Li21 Li 0.750 0.750 0.665 1
Li22 Li 0.750 0.750 0.796 1
Li23 Li 0.930 0.070 0.437 1
Li24 Li 0.930 0.430 0.563 1
Cd1 Cd 0.250 0.750 0.288 1
Cd2 Cd 0.250 0.750 0.712 1
Cd3 Cd 0.750 0.250 0.288 1
Cd4 Cd 0.750 0.250 0.712 1
Rh1 Rh 0.250 0.750 0.000 1
Rh2 Rh 0.750 0.250 0.000 1